The following is a DFT calculation (PBE) of an optimized crystal structure of Tb3HoErTm.

Structure (POSCAR):
```
Tb3HoErTm
1.0
-2.1501 4.9083 -0.7845
-1.3356 -5.1552 -9.8996
-6.1036 -2.5109 1.0181
Ho Tb Tm Er
2 6 2 2
Direct
0.3681 0.7363 0.9663
0.6319 0.2637 0.0337
0.7742 0.5484 0.8096
0.1643 0.3286 0.7304
0.5248 0.0497 0.7306
0.4752 0.9503 0.2694
0.2258 0.4516 0.1904
0.8357 0.6714 0.2696
0.0724 0.1449 0.3334
0.9276 0.8551 0.6666
0.3334 0.6667 0.5280
0.6666 0.3333 0.4720
```

Results
- space-group type = C2/m
- formation energy from the elements (eV/atom) = 0.198
- crystal system = monoclinic
- M_tot (μB/f.u.) = 0.0
- N(E_F) (states/eV/cell) = 19.09